The following is a PBE calculation of a relaxed structure of YPbAuSe3, from OQMD via LeMat-Bulk.

As for the space group: No. 62. The calculation puts the total energy at -4.882 eV/atom. The total magnetic moment comes out at 0.016 μB/cell. The value obtained for the calculated volume is 609 Å³/cell.

Structure (POSCAR):
```
YPbAuSe3
1.0
12.698 0.000 0.000
0.000 4.177 0.000
0.000 0.000 11.479
Y Pb Au Se
4 4 4 12
direct
0.006 0.250 0.179
0.494 0.750 0.679
0.506 0.250 0.321
0.994 0.750 0.821
0.207 0.250 0.468
0.293 0.750 0.968
0.707 0.250 0.032
0.793 0.750 0.532
0.203 0.750 0.232
0.297 0.250 0.732
0.703 0.750 0.268
0.797 0.250 0.768
0.035 0.750 0.351
0.109 0.250 0.951
0.187 0.750 0.675
0.313 0.250 0.175
0.391 0.750 0.451
0.465 0.250 0.851
0.535 0.750 0.149
0.609 0.250 0.549
0.687 0.750 0.825
0.813 0.250 0.325
0.891 0.750 0.049
0.965 0.250 0.649
```

The following is a PBE calculation of a relaxed structure of GdY2Si6, from OQMD via LeMat-Bulk.

As for the space group: No. 123. The calculation puts the total energy at -5.267 eV/atom. The total magnetic moment comes out at 0.010 μB/cell. The value obtained for the calculated volume is 294 Å³/cell.

Structure (POSCAR):
```
GdY2Si6
1.0
5.110 0.000 0.000
0.000 5.110 0.000
0.000 0.000 11.262
Gd Y Si
1 2 6
direct
0.000 0.000 0.000
0.500 0.500 0.247
0.500 0.500 0.753
0.000 0.500 0.107
0.000 0.500 0.893
0.500 0.000 0.107
0.500 0.000 0.893
0.500 0.500 0.000
0.500 0.500 0.500
```

- Among the records above, which one has the lowest calculated volume?
  GdY2Si6

- The lowest calculated volume belongs to which entry?
  GdY2Si6

- What is the total magnetic moment in the second record?
  0.010 μB/cell

- Which of these has the highest calculated volume?
  YPbAuSe3